VASP calculation (GGA+U) on a relaxed CrTePd2O crystal.

```
data_CrTePd2O
_cell_length_a 4.218
_cell_length_b 4.218
_cell_length_c 4.914
_cell_angle_alpha 90.00
_cell_angle_beta 90.00
_cell_angle_gamma 90.00
_symmetry_space_group_name_H-M 'P 4/m m m'
_symmetry_Int_Tables_number 123
_symmetry_space_group_name_Hall '-P 4 2'
loop_
_atom_site_label
_atom_site_fract_x
_atom_site_fract_y
_atom_site_fract_z
Cr1 0.000 0.000 0.000
Te1 0.500 0.500 0.000
Pd1 0.000 0.500 0.500
O1 0.500 0.500 0.500
```

Calculated values
The electronic total energy is -5.1034 eV/atom. As for the crystal system: tetragonal.